Ba2HPdAu | GGA-PBE | optimized geometry Values from VASP.

Computed properties:
The total magnetic moment comes out at 0.0 μB per formula unit. For the distance to the lowest polymorph of the same formula, the calculation gives 0.0000 eV/atom. Its calculated volume is 126.3 Å³/cell. The value obtained for the density of states at the Fermi level is 0.467 states/eV per atom. The space group is No. 123.

Cell and atoms, written as Quantum ESPRESSO input:
```
&SYSTEM
  ibrav = 0, nat = 5, ntyp = 4
/
ATOMIC_SPECIES
Ba 137.33 Ba.upf
H 1.01 H.upf
Pd 106.42 Pd.upf
Au 196.97 Au.upf
ATOMIC_POSITIONS crystal
Ba 0.000 0.500 0.000
Ba 0.500 0.000 0.000
H 0.000 0.000 0.000
Pd 0.000 0.000 0.500
Au 0.500 0.500 0.500
CELL_PARAMETERS angstrom
5.734 0.000 0.000
0.000 5.734 0.000
0.000 0.000 3.842
```